First-principles (PBE with a Hubbard U) data for CrGeTeO6 after structural relaxation, as listed in Alexandria.

Cell and atoms, written as CIF:
```
data_CrGeTeO6
_chemical_formula_sum 'Cr2 Ge2 Te2 O12'
_space_group_name_H-M_alt 'P -3 1 c'
_space_group_IT_number 163
_space_group_name_Hall '-P 3 2c'
_cell_length_a 5.1125
_cell_length_b 5.1125
_cell_length_c 8.6588
_cell_angle_alpha 90.00
_cell_angle_beta 90.00
_cell_angle_gamma 120.00
loop_
_atom_site_label
_atom_site_type_symbol
_atom_site_fract_x
_atom_site_fract_y
_atom_site_fract_z
_atom_site_occupancy
Cr1 Cr 0.3333 0.6667 0.2500 1
Ge1 Ge 0.0000 0.0000 0.0000 1
Te1 Te 0.3333 0.6667 0.7500 1
O1 O 0.0062 0.3296 0.1232 1
```

Values from the calculation:
mass density = 5.900 g/cm3
size of the total moment = 0.294 μB per atom
energy = -112.41 eV/cell